First-principles (PBE) data for crystalline Re2AgTe at its relaxed geometry, as listed in Alexandria.

Uncorrected energy ... -6.796 eV/atom
Formation energy (no corrections) ... 0.926 eV per atom
Volume ... 138 Å³/cell

Cell lengths 9.0424, 3.0158, 5.1217 Å; angles 90.00, 99.66, 90.00 degrees
Space group C2/m (No. 12)
Symmetry-distinct sites (fractional):
Re 0.2502 0.0000 0.2474 [4 per cell]
Ag 0.0000 0.0000 0.5000 [2 per cell]
Te 0.0000 0.5000 0.0000 [2 per cell]